No. 1
A plane-wave DFT calculation with PBE-GGA was carried out for an optimized crystal structure of Ho4PbC2O.

Cell lengths 3.5342, 3.5342, 13.9228 Å; angles 90.00, 90.00, 120.00 degrees
Closest atoms and distances in Å follow each position.
Fractional positions:
C  0.6667  0.3333  0.2110  6 Ho 2.42-2.47
C  0.6667  0.3333  0.7890  6 Ho 2.42-2.47
Ho  0.3333  0.6667  0.1116  3 C 2.47, 3 O 2.56
Ho  0.0000  0.0000  0.3048  3 C 2.42
Ho  0.0000  0.0000  0.6952  3 C 2.42
Ho  0.3333  0.6667  0.8884  3 C 2.47, 3 O 2.56
O  0.0000  0.0000  0.0000  6 Ho 2.56
Pb  0.3333  0.6667  0.5000  6 Ho 3.40, 6 Pb 3.53

The total energy is -54.0 eV per cell. The spin magnetization comes out at 0.0 μB per formula unit.

***

No. 2
A plane-wave DFT calculation with PBE-GGA was carried out for an optimized crystal structure of Ho9Sb5CO4.

Cell lengths 9.8294, 9.8294, 8.9220 Å; angles 90.00, 90.00, 90.00 degrees
Closest atoms and distances in Å follow each position.
Fractional positions:
C  0.7500  0.7500  0.0595  5 Ho 2.26-2.41
C  0.2500  0.2500  0.9405  5 Ho 2.26-2.41
Ho  0.1701  0.0255  0.0034  3 O 2.19-2.30, 1 C 2.41
Ho  0.4745  0.1701  0.0034  3 O 2.19-2.30, 1 C 2.41
Ho  0.0255  0.3299  0.0034  3 O 2.19-2.30, 1 C 2.41
Ho  0.3299  0.4745  0.0034  3 O 2.19-2.30, 1 C 2.41
Ho  0.7500  0.7500  0.3125  1 C 2.26
Ho  0.9547  0.1448  0.3382  1 O 2.20
Ho  0.5453  0.3552  0.3382  1 O 2.20
Ho  0.1448  0.5453  0.3382  1 O 2.20
Ho  0.3552  0.9547  0.3382  1 O 2.20
Ho  0.6448  0.0453  0.6618  1 O 2.20
Ho  0.8552  0.4547  0.6618  1 O 2.20
Ho  0.4547  0.6448  0.6618  1 O 2.20
Ho  0.0453  0.8552  0.6618  1 O 2.20
Ho  0.2500  0.2500  0.6875  1 C 2.26
Ho  0.6701  0.5255  0.9966  3 O 2.19-2.30, 1 C 2.41
Ho  0.9745  0.6701  0.9966  3 O 2.19-2.30, 1 C 2.41
Ho  0.5255  0.8299  0.9966  3 O 2.19-2.30, 1 C 2.41
Ho  0.8299  0.9745  0.9966  3 O 2.19-2.30, 1 C 2.41
O  0.9759  0.1284  0.0936  4 Ho 2.19-2.30
O  0.5241  0.3716  0.0936  4 Ho 2.19-2.30
O  0.1284  0.5241  0.0936  4 Ho 2.19-2.30
O  0.3716  0.9759  0.0936  4 Ho 2.19-2.30
O  0.6284  0.0241  0.9064  4 Ho 2.19-2.30
O  0.8716  0.4759  0.9064  4 Ho 2.19-2.30
O  0.4759  0.6284  0.9064  4 Ho 2.19-2.30
O  0.0241  0.8716  0.9064  4 Ho 2.19-2.30
Sb  0.6534  0.0576  0.3066  7 Ho 3.10-3.41, 1 O 3.45
Sb  0.8466  0.4424  0.3066  7 Ho 3.10-3.41, 1 O 3.45
Sb  0.4424  0.6534  0.3066  7 Ho 3.10-3.41, 1 O 3.45
Sb  0.0576  0.8466  0.3066  7 Ho 3.10-3.41, 1 O 3.45
Sb  0.2500  0.2500  0.3303  5 Ho 3.08-3.19
Sb  0.7500  0.7500  0.6697  5 Ho 3.08-3.19
Sb  0.9424  0.1534  0.6934  7 Ho 3.10-3.41, 1 O 3.45
Sb  0.5576  0.3466  0.6934  7 Ho 3.10-3.41, 1 O 3.45
Sb  0.1534  0.5576  0.6934  7 Ho 3.10-3.41, 1 O 3.45
Sb  0.3466  0.9424  0.6934  7 Ho 3.10-3.41, 1 O 3.45

The total energy is -254.5 eV per cell. The spin magnetization comes out at 0.0 μB per formula unit.

***

No. 3
A plane-wave DFT calculation with PBE-GGA was carried out for an optimized crystal structure of Ho4SnC2O.

Cell lengths 3.5242, 3.5242, 13.7963 Å; angles 90.00, 90.00, 120.00 degrees
Closest atoms and distances in Å follow each position.
Fractional positions:
C  0.6667  0.3333  0.2131  6 Ho 2.42-2.46
C  0.6667  0.3333  0.7869  6 Ho 2.42-2.46
Ho  0.3333  0.6667  0.1129  3 C 2.46, 3 O 2.56
Ho  0.0000  0.0000  0.3085  3 C 2.42
Ho  0.0000  0.0000  0.6915  3 C 2.42
Ho  0.3333  0.6667  0.8871  3 C 2.46, 3 O 2.56
O  0.0000  0.0000  0.0000  6 Ho 2.56
Sn  0.3333  0.6667  0.5000  6 Ho 3.33, 6 Sn 3.52

The total energy is -54.5 eV per cell. The spin magnetization comes out at 0.0 μB per formula unit.

***

No. 4
A plane-wave DFT calculation with PBE-GGA was carried out for an optimized crystal structure of Ho4TlC2O.

Cell lengths 3.5185, 3.5185, 14.0289 Å; angles 90.00, 90.00, 120.00 degrees
Closest atoms and distances in Å follow each position.
Fractional positions:
C  0.6667  0.3333  0.2096  6 Ho 2.42-2.46
C  0.6667  0.3333  0.7904  6 Ho 2.42-2.46
Ho  0.3333  0.6667  0.1109  3 C 2.46, 3 O 2.56
Ho  0.0000  0.0000  0.3038  3 C 2.42
Ho  0.0000  0.0000  0.6962  3 C 2.42
Ho  0.3333  0.6667  0.8891  3 C 2.46, 3 O 2.56
O  0.0000  0.0000  0.0000  6 Ho 2.56
Tl  0.3333  0.6667  0.5000  6 Ho 3.42, 6 Tl 3.52

The total energy is -52.2 eV per cell. The spin magnetization comes out at 0.3 μB per formula unit.